Compound: ErNpSe3
Source: Alexandria via LeMat-Bulk
Functional: PBE-GGA
Structure: optimized geometry

Properties
VASP energy in eV for the cell shown: -141.9
ΔE to the lowest computed polymorph in meV/atom: 0
Formation energy (no corrections) in meV per atom: -1506.0

Structure (extended XYZ):
```
20
Lattice="7.659 0.000 0.000 0.000 4.081 0.000 0.000 0.000 15.701" Properties=species:S:1:pos:R:3 pbc="T T T"
Er 1.795 1.020 0.662
Er 2.034 3.061 8.512
Er 5.624 1.020 7.189
Er 5.864 3.061 15.039
Np 1.059 3.061 4.606
Np 2.770 1.020 12.457
Np 4.889 3.061 3.244
Np 6.599 1.020 11.095
Se 0.064 3.061 1.675
Se 0.941 1.020 6.817
Se 1.127 3.061 11.295
Se 2.702 1.020 3.444
Se 2.889 3.061 14.667
Se 3.765 1.020 9.526
Se 3.894 3.061 6.175
Se 4.770 1.020 1.034
Se 4.957 3.061 12.257
Se 6.531 1.020 4.407
Se 6.718 3.061 8.884
Se 7.594 1.020 14.026
```